No. 1
A plane-wave DFT calculation with PBE was carried out for crystalline LiCa3Np3Te8 at its relaxed geometry.

- raw formation energy (eV/atom) = -1.009
- V (Å³/f.u.) = 494.0
- density of states at the Fermi level (states/eV/f.u.) = 33.69
- DFT total energy (eV/atom) = -5.8004
- size of the total moment (Bohr magnetons per cell) = 36.0

abc: 8.8213 8.8213 21.9928
angles: 90.00 90.00 120.00
With the nearest neighbours (Å) after each atom.
Space group R-3m (No. 166, hexagonal axes)
Inequivalent atoms, fractional coordinates:
Li 0.0000 0.0000 0.0000 (multiplicity 3)  6 Te 3.10
Ca 0.0000 0.5000 0.5000 (multiplicity 9)  6 Te 3.14-3.18
Np 0.0000 0.5000 0.0000 (multiplicity 9)  6 Te 3.09-3.13
Te 0.0000 0.0000 0.2505 (multiplicity 6)  3 Np 3.13, 3 Ca 3.14
Te 0.0007 0.5004 0.2534 (multiplicity 18)  2 Np 3.09, 1 Li 3.10, 2 Ca 3.18



No. 2
A plane-wave DFT calculation with PBE was carried out for crystalline MgFe2As at its relaxed geometry.

- V (Å³/f.u.) = 55.7
- density of states at the Fermi level (states/eV/f.u.) = 1.57
- DFT total energy (eV/atom) = -5.6566
- size of the total moment (Bohr magnetons per cell) = 18.6
- E_form (eV per atom) = 0.1358

abc: 6.0611 6.0611 6.0611
angles: 90.00 90.00 90.00
With the nearest neighbours (Å) after each atom.
Space group F-43m (No. 216)
Inequivalent atoms, fractional coordinates:
Mg 0.0000 0.0000 0.0000 (multiplicity 4)  4 As 2.62, 4 Fe 2.62
Fe 0.0000 0.0000 0.5000 (multiplicity 4)  4 As 2.62, 4 Fe 2.62
Fe 0.2500 0.2500 0.2500 (multiplicity 4)  4 Fe 2.62, 4 Mg 2.62
As 0.2500 0.2500 0.7500 (multiplicity 4)  4 Fe 2.62, 4 Mg 2.62



No. 3
A plane-wave DFT calculation with PBE was carried out for crystalline Ac3Zn4Cu2 at its relaxed geometry.

- V (Å³/f.u.) = 220.5
- density of states at the Fermi level (states/eV/f.u.) = 7.62
- DFT total energy (eV/atom) = -3.1023
- size of the total moment (Bohr magnetons per cell) = 0.0
- E_form (eV per atom) = -0.2564

abc: 11.3053 4.5721 8.9918
angles: 90.00 108.42 90.00
With the nearest neighbours (Å) after each atom.
Space group C2/m (No. 12)
Inequivalent atoms, fractional coordinates:
Ac 0.0000 0.0000 0.0000 (multiplicity 2)  8 Zn 3.28-3.34, 4 Cu 3.30
Ac 0.1695 0.5000 0.6604 (multiplicity 4)  8 Zn 3.30-3.46, 4 Cu 3.31-3.37
Zn 0.0492 0.0000 0.3799 (multiplicity 4)  2 Cu 2.64, 1 Zn 2.72
Zn 0.2242 0.5000 0.0616 (multiplicity 4)  1 Cu 2.64, 2 Zn 2.68
Cu 0.1079 0.5000 0.2739 (multiplicity 4)  3 Zn 2.64



No. 4
A plane-wave DFT calculation with PBE was carried out for crystalline CdNiPt at its relaxed geometry.

- V (Å³/f.u.) = 47.5
- density of states at the Fermi level (states/eV/f.u.) = 2.39
- DFT total energy (eV/atom) = -4.3045
- size of the total moment (Bohr magnetons per cell) = 0.6
- E_form (eV per atom) = -0.0588
- offset from the most stable computed form (eV/f.u.) = 0.10

abc: 4.3720 4.3720 2.8707
angles: 90.00 90.00 120.00
With the nearest neighbours (Å) after each atom.
Space group P3m1 (No. 156)
Inequivalent atoms, fractional coordinates:
Cd 0.0000 0.0000 0.0000 (multiplicity 1)  2 Cd 2.87, 6 Ni 2.90-2.91, 6 Pt 2.90
Ni 0.6667 0.3333 0.4970 (multiplicity 1)  3 Pt 2.52
Pt 0.3333 0.6667 0.5008 (multiplicity 1)  3 Ni 2.52



No. 5
A plane-wave DFT calculation with PBE was carried out for crystalline CoRh5 at its relaxed geometry.

- V (Å³/f.u.) = 82.4
- density of states at the Fermi level (states/eV/f.u.) = 8.39
- DFT total energy (eV/atom) = -7.2736
- size of the total moment (Bohr magnetons per cell) = 2.1
- E_form (eV per atom) = 0.0370

abc: 2.7024 3.7820 8.0603
angles: 90.00 90.00 90.00
With the nearest neighbours (Å) after each atom.
Space group Pmmm (No. 47)
Inequivalent atoms, fractional coordinates:
Co 0.0000 0.0000 0.0000 (multiplicity 1)  10 Rh 2.65-2.66, 2 Co 2.70
Rh 0.0000 0.0000 0.3286 (multiplicity 2)  1 Co 2.65, 11 Rh 2.69-2.76
Rh 0.5000 0.5000 0.1595 (multiplicity 2)  8 Rh 2.57-2.74, 4 Co 2.66
Rh 0.5000 0.5000 0.5000 (multiplicity 1)  12 Rh 2.70-2.74



No. 6
A plane-wave DFT calculation with PBE was carried out for crystalline ZrIrW2 at its relaxed geometry.

- V (Å³/f.u.) = 68.4
- density of states at the Fermi level (states/eV/f.u.) = 2.80
- DFT total energy (eV/atom) = -10.8098
- size of the total moment (Bohr magnetons per cell) = 0.0
- E_form (eV per atom) = 0.0191
- offset from the most stable computed form (eV/f.u.) = 0.59

abc: 2.8016 2.8016 8.7120
angles: 90.00 90.00 90.00
With the nearest neighbours (Å) after each atom.
Space group P4/mmm (No. 123)
Inequivalent atoms, fractional coordinates:
Zr 0.0000 0.0000 0.0000 (multiplicity 1)  4 Zr 2.80, 8 W 3.13
Ir 0.0000 0.0000 0.5000 (multiplicity 1)  8 W 2.77, 4 Ir 2.80
W 0.5000 0.5000 0.2776 (multiplicity 2)  4 Ir 2.77, 4 W 2.80